Below is CePrGaIr after structural relaxation, with properties calculated at the PBE-GGA level.

Output
excess energy over the best structure of this formula in the dataset	0	meV per atom
total moment	0.002	μB per atom
space-group type	Amm2, No. 38
ΔH_f (0 K)	-0.6735	eV per atom

```
8
Lattice="3.9040 0.0000 0.0000 0.0000 4.2095 0.0000 0.0000 0.0000 11.8889" Properties=species:S:1:pos:R:3 pbc="T T T"
Ce 0.0000 0.0000 0.0000
Ce 0.0000 2.1047 5.9444
Pr 1.9520 0.0000 8.5849
Pr 1.9520 2.1047 2.6404
Ga 0.0000 0.0000 3.6725
Ga 0.0000 2.1047 9.6170
Ir 1.9520 0.0000 5.5050
Ir 1.9520 2.1047 11.4495
```